Entry from the Alexandria database: an optimized crystal structure of V2CdPdO6 (PBE with a Hubbard U).

The raw total energy comes out at -257.5 eV/cell.

The space group is C2/c (No. 15) and the conventional cell measures 9.641, 10.445 and 6.087 Å, with angles of 90.00, 116.53 and 90.00 degrees. The asymmetric unit holds V at (0.147, 0.080, 0.193), Cd at (0.000, 0.410, 0.250), Pd at (0.000, 0.238, 0.750), O at (0.110, 0.051, 0.461), O at (0.112, 0.242, 0.125) and O at (0.151, 0.436, 0.666).